Ir2Rh5: relaxed, PBE-GGA.

## Properties
Density of states at the Fermi level (states/eV per cell): 22.17
SG: P4/mbm
Energy relative to the elements (kcal/mol of atoms): 4.59

a b c (Å): 2.6992 8.8608 8.8608
angles (deg): 90.00 90.00 90.00
Last column: nearest neighbours and their distance in Å.
Fractional positions:
Ir (0.5000, 0.6841, 0.1841)  10 Rh 2.67-2.71, 2 Ir 2.70
Ir (0.5000, 0.1841, 0.3159)  10 Rh 2.67-2.71, 2 Ir 2.70
Ir (0.5000, 0.3159, 0.8159)  10 Rh 2.67-2.71, 2 Ir 2.70
Ir (0.5000, 0.8159, 0.6841)  10 Rh 2.67-2.71, 2 Ir 2.70
Rh (0.0000, 0.2975, 0.5556)  5 Rh 2.63-2.70, 4 Ir 2.68-2.71
Rh (0.0000, 0.0556, 0.7975)  5 Rh 2.63-2.70, 4 Ir 2.68-2.71
Rh (0.0000, 0.7975, 0.9444)  5 Rh 2.63-2.70, 4 Ir 2.68-2.71
Rh (0.0000, 0.2025, 0.0556)  5 Rh 2.63-2.70, 4 Ir 2.68-2.71
Rh (0.0000, 0.9444, 0.2025)  5 Rh 2.63-2.70, 4 Ir 2.68-2.71
Rh (0.0000, 0.0000, 0.5000)  4 Ir 2.67, 6 Rh 2.68-2.70
Rh (0.0000, 0.5000, 0.0000)  4 Ir 2.67, 6 Rh 2.68-2.70
Rh (0.0000, 0.5556, 0.7025)  5 Rh 2.63-2.70, 4 Ir 2.68-2.71
Rh (0.0000, 0.4444, 0.2975)  5 Rh 2.63-2.70, 4 Ir 2.68-2.71
Rh (0.0000, 0.7025, 0.4444)  5 Rh 2.63-2.70, 4 Ir 2.68-2.71